VASP calculation (GGA-PBE) on a geometry-optimized Na7Pb3 structure.

Structure (POSCAR):
```
Na7Pb3
1.0
6.3326 0.0000 0.0000
0.0000 10.9265 0.0000
0.0000 -5.4633 9.4626
Na Pb
14 6
Cartesian
5.9566 5.4633 3.1542
2.7903 0.0000 6.3084
5.7506 5.4632 6.9419
5.7506 8.7435 1.2604
5.7506 2.1830 1.2604
2.5843 0.0000 2.5207
2.5843 -3.2802 8.2023
2.5843 3.2802 8.2023
1.1654 0.0000 9.2838
1.1654 2.5767 4.8207
1.1654 -2.5767 4.8207
4.3317 5.4633 0.1789
4.3317 2.8865 4.6419
4.3317 8.0400 4.6419
5.6804 0.0000 4.3392
5.6804 -1.7054 7.2930
5.6804 1.7054 7.2930
2.5141 5.4633 5.1234
2.5141 7.1686 2.1696
2.5141 3.7579 2.1696
```

Values from the calculation:
Its energy above the most stable polymorph in this dataset is 32 meV per atom. Its size of the total moment is 0.00 μB/atom.

VASP calculation (GGA-PBE) on a geometry-optimized HoZrGe2 structure.

Structure (POSCAR):
```
HoZrGe2
1.0
-3.5798 1.0369 -1.4995
-0.9699 -3.8041 -0.3150
-0.1963 -0.4112 5.5717
Ho Zr Ge
1 1 2
Cartesian
-2.7808 0.3449 4.3981
-2.1638 -1.6172 1.5721
-1.2675 -2.0871 4.4869
-3.6555 0.8133 1.4336
```

Values from the calculation:
Its energy above the most stable polymorph in this dataset is 0 meV per atom. Its size of the total moment is 0.00 μB/atom.

VASP calculation (GGA-PBE) on a geometry-optimized ZrTaNi2 structure.

Structure (POSCAR):
```
ZrTaNi2
1.0
6.9434 0.0000 0.0000
0.0000 6.9434 0.0000
3.4717 3.4717 2.7241
Ni Zr Ta
4 2 2
Cartesian
5.3283 1.7358 0.6810
1.6150 5.2075 0.6810
5.2075 5.0867 2.0431
8.6792 8.8000 2.0431
3.4717 3.4717 0.0000
3.4717 6.9434 1.3620
0.0000 0.0000 0.0000
6.9434 3.4717 1.3620
```

Values from the calculation:
Its size of the total moment is 0.00 μB/atom.

Number 1: energy relative to the elements -0.092 eV/atom. Number 2: energy relative to the elements -0.806 eV/atom. Number 3: energy relative to the elements 0.169 eV/atom.